Material: ThTl2WO6
Method: DFT, GGA+U
State: optimized geometry

Lattice parameters (Å, degrees): 6.0889 6.0870 8.6092 90.00 90.00 90.00
Positions (direct):
Th1 0.0000 0.7498 0.5000
Th2 0.5000 0.2502 0.0000
Tl1 0.5000 0.7504 0.2501
Tl2 0.0000 0.2496 0.7501
Tl3 0.5000 0.7504 0.7499
Tl4 0.0000 0.2496 0.2499
W1 0.5000 0.2500 0.5000
W2 0.0000 0.7500 0.0000
O1 0.5000 0.2498 0.2716
O2 0.5000 0.2498 0.7284
O3 0.0000 0.7502 0.2284
O4 0.0000 0.7502 0.7716
O5 0.2716 0.0214 0.5000
O6 0.7284 0.0214 0.5000
O7 0.2716 0.4784 0.5000
O8 0.7284 0.4784 0.5000
O9 0.7716 0.5216 0.0000
O10 0.2284 0.5216 0.0000
O11 0.2284 0.9786 0.0000
O12 0.7716 0.9786 0.0000

Summary:
* final energy: -7.079 eV/atom
* total magnetization: 0.00 μB/f.u.